Run 1
A plane-wave DFT calculation with PBE was carried out for crystalline NdNbTc at its relaxed geometry.

## Properties
**ρ**: 8.1 g cm⁻³

Cell and atoms, written as POSCAR:
```
NdNbTc
1.0
0.1176 2.1499 4.0529
-2.5701 -1.5261 3.4825
1.9912 -2.0161 3.6100
Tc Nb Nd
1 1 1
Direct
0.7500 0.7500 0.7500
0.2500 0.2500 0.2500
0.0000 0.0000 0.0000
```

=====

Run 2
A plane-wave DFT calculation with PBE was carried out for crystalline NdNbTc at its relaxed geometry.

## Properties
**ρ**: 8.1 g cm⁻³

Cell and atoms, written as POSCAR:
```
NdNbTc
1.0
0.0000 3.2456 3.2456
3.2456 0.0000 3.2456
3.2456 3.2456 0.0000
Tc Nb Nd
1 1 1
Direct
0.7500 0.7500 0.7500
0.0000 0.0000 0.0000
0.2500 0.2500 0.2500
```

=====

Here are the energies relative to the best structure, in meV/atom: run 1 792; run 2 0.

=====

Run 1
A plane-wave DFT calculation with PBE was carried out for crystalline NdNbTe at its relaxed geometry.

## Properties
**ρ**: 7.6 g cm⁻³

Cell and atoms, written as POSCAR:
```
NdNbTe
1.0
-0.8611 -2.4658 4.7715
-2.0427 -2.1295 -4.5697
2.5853 -1.6507 -0.3865
Te Nd Nb
1 1 1
Direct
0.6667 0.3333 0.0000
0.3333 0.6667 0.0000
0.0000 0.0000 0.0000
```

=====

Run 2
A plane-wave DFT calculation with PBE was carried out for crystalline NdNbTe at its relaxed geometry.

## Properties
**ρ**: 7.3 g cm⁻³

Cell and atoms, written as POSCAR:
```
NdNbTe
1.0
0.0000 3.4648 3.4648
3.4648 0.0000 3.4648
3.4648 3.4648 0.0000
Nd Nb Te
1 1 1
Direct
0.7500 0.7500 0.7500
0.2500 0.2500 0.2500
0.0000 0.0000 0.0000
```

=====

Here are the energies relative to the best structure, in meV/atom: run 1 392; run 2 0.

=====

Run 1
A plane-wave DFT calculation with PBE was carried out for crystalline NdNbW at its relaxed geometry.

## Properties
**ρ**: 9.8 g cm⁻³

Cell and atoms, written as POSCAR:
```
NdNbW
1.0
-4.5066 -1.1604 -0.1770
-3.1809 2.6919 2.0790
-2.9544 2.5213 -2.5693
Nd W Nb
1 1 1
Direct
0.0000 0.0000 0.0000
0.7500 0.7500 0.7500
0.2500 0.2500 0.2500
```

=====

Run 2
A plane-wave DFT calculation with PBE was carried out for crystalline NdNbW at its relaxed geometry.

## Properties
**ρ**: 9.7 g cm⁻³

Cell and atoms, written as POSCAR:
```
NdNbW
1.0
4.3916 -0.8389 -1.3656
2.0821 -4.0206 1.1638
0.8537 -3.2240 -3.2759
Nb Nd W
1 1 1
Direct
0.2500 0.2500 0.2500
0.7500 0.7500 0.7500
0.0000 0.0000 0.0000
```

=====

Here are the energies relative to the best structure, in meV/atom: run 1 1069; run 2 0.

=====

Run 1
A plane-wave DFT calculation with PBE was carried out for crystalline NbNiSbPd at its relaxed geometry.

## Properties
**ρ**: 9.5 g cm⁻³

Cell and atoms, written as POSCAR:
```
NbNiSbPd
1.0
0.0000 3.2101 3.2101
3.2101 0.0000 3.2101
3.2101 3.2101 0.0000
Sb Pd Ni Nb
1 1 1 1
Direct
0.0000 0.0000 0.0000
0.5000 0.5000 0.5000
0.7500 0.7500 0.7500
0.2500 0.2500 0.2500
```

=====

Run 2
A plane-wave DFT calculation with PBE was carried out for crystalline NbNiSbPd at its relaxed geometry.

## Properties
**ρ**: 9.6 g cm⁻³

Cell and atoms, written as POSCAR:
```
NbNiSbPd
1.0
0.0000 3.1990 3.1990
3.1990 0.0000 3.1990
3.1990 3.1990 0.0000
Pd Nb Sb Ni
1 1 1 1
Direct
0.2500 0.2500 0.2500
0.5000 0.5000 0.5000
0.0000 0.0000 0.0000
0.7500 0.7500 0.7500
```

=====

Here are the energies relative to the best structure, in meV/atom: run 1 0; run 2 54.

=====

Run 1
A plane-wave DFT calculation with PBE was carried out for crystalline NbTlNiPt at its relaxed geometry.

## Properties
**ρ**: 13.7 g cm⁻³

Cell and atoms, written as POSCAR:
```
NbTlNiPt
1.0
0.0000 3.2240 3.2240
3.2240 0.0000 3.2240
3.2240 3.2240 0.0000
Pt Nb Ni Tl
1 1 1 1
Direct
0.2500 0.2500 0.2500
0.5000 0.5000 0.5000
0.7500 0.7500 0.7500
0.0000 0.0000 0.0000
```

=====

Run 2
A plane-wave DFT calculation with PBE was carried out for crystalline NbTlNiPt at its relaxed geometry.

## Properties
**ρ**: 13.7 g cm⁻³

Cell and atoms, written as POSCAR:
```
NbTlNiPt
1.0
3.4128 1.0593 2.8248
-0.8631 0.8811 4.3850
1.2962 -2.9553 3.2149
Pt Ni Nb Tl
1 1 1 1
Direct
0.5000 0.5000 0.5000
0.7500 0.7500 0.7500
0.2500 0.2500 0.2500
0.0000 0.0000 0.0000
```

=====

Here are the energies relative to the best structure, in meV/atom: run 1 0; run 2 61.

=====

Run 1
A plane-wave DFT calculation with PBE was carried out for crystalline PuNbNi at its relaxed geometry.

## Properties
**ρ**: 11.7 g cm⁻³

Cell and atoms, written as POSCAR:
```
PuNbNi
1.0
0.0000 3.0414 3.0414
3.0414 0.0000 3.0414
3.0414 3.0414 0.0000
Nb Ni Pu
1 1 1
Direct
0.2500 0.2500 0.2500
0.7500 0.7500 0.7500
0.0000 0.0000 0.0000
```

=====

Run 2
A plane-wave DFT calculation with PBE was carried out for crystalline PuNbNi at its relaxed geometry.

## Properties
**ρ**: 11.8 g cm⁻³

Cell and atoms, written as POSCAR:
```
PuNbNi
1.0
0.8709 3.0713 2.8537
-3.1869 2.2592 1.7537
-1.0055 -0.5619 4.1242
Nb Pu Ni
1 1 1
Direct
0.0000 0.0000 0.0000
0.7500 0.7500 0.7500
0.2500 0.2500 0.2500
```

=====

Here are the energies relative to the best structure, in meV/atom: run 1 520; run 2 0.

=====

Run 1
A plane-wave DFT calculation with PBE was carried out for crystalline RbNbNi at its relaxed geometry.

## Properties
**ρ**: 5.4 g cm⁻³

Cell and atoms, written as POSCAR:
```
RbNbNi
1.0
-1.0784 -4.5494 0.4302
-4.4873 -1.3733 -0.1501
-1.5995 -2.3944 -3.7086
Ni Rb Nb
1 1 1
Direct
0.0000 0.0000 0.0000
0.7500 0.7500 0.7500
0.2500 0.2500 0.2500
```

=====

Run 2
A plane-wave DFT calculation with PBE was carried out for crystalline RbNbNi at its relaxed geometry.

## Properties
**ρ**: 6.0 g cm⁻³

Cell and atoms, written as POSCAR:
```
RbNbNi
1.0
3.5442 -2.8060 0.4175
2.2381 -0.2591 3.9413
-0.3469 -3.7287 2.5664
Ni Rb Nb
1 1 1
Direct
0.5000 0.5000 0.5000
0.7500 0.7500 0.7500
0.0000 0.0000 0.0000
```

=====

Here are the energies relative to the best structure, in meV/atom: run 1 0; run 2 778.

=====

Run 1
A plane-wave DFT calculation with PBE was carried out for crystalline RbNbNiTe3 at its relaxed geometry.

## Properties
**ρ**: 5.9 g cm⁻³

Cell and atoms, written as POSCAR:
```
RbNbNiTe3
1.0
9.4764 0.0000 0.0000
0.0000 3.8733 0.0000
-4.4196 0.0000 9.5284
Ni Rb Te Nb
2 2 6 2
Direct
0.5223 0.2500 0.1083
0.4777 0.7500 0.8917
0.9944 0.7500 0.2183
0.0056 0.2500 0.7817
0.7579 0.2500 0.3464
0.6746 0.2500 0.9524
0.3422 0.2500 0.3765
0.3254 0.7500 0.0476
0.6578 0.7500 0.6235
0.2421 0.7500 0.6536
0.5356 0.7500 0.3175
0.4644 0.2500 0.6825
```

=====

Run 2
A plane-wave DFT calculation with PBE was carried out for crystalline RbNbNiTe3 at its relaxed geometry.

## Properties
**ρ**: 6.0 g cm⁻³

Cell and atoms, written as POSCAR:
```
RbNbNiTe3
1.0
-8.3022 -1.8051 2.7801
8.1608 -1.9863 -3.0611
3.4482 -0.8509 9.7448
Te Rb Nb Ni
6 2 2 2
Direct
0.9294 0.0706 0.2500
0.3860 0.6140 0.5619
0.6140 0.3860 0.0619
0.3860 0.6140 0.9381
0.6140 0.3860 0.4381
0.0706 0.9294 0.7500
0.2517 0.7483 0.2500
0.7483 0.2517 0.7500
0.0000 0.0000 0.5000
0.0000 0.0000 0.0000
0.5242 0.4758 0.2500
0.4758 0.5242 0.7500
```

=====

Here are the energies relative to the best structure, in meV/atom: run 1 0; run 2 41.

=====

Run 1
A plane-wave DFT calculation with PBE was carried out for crystalline SmNbNi at its relaxed geometry.

## Properties
**ρ**: 7.8 g cm⁻³

Cell and atoms, written as POSCAR:
```
SmNbNi
1.0
-3.0626 -3.2883 -0.3226
-1.0688 -2.4468 3.6287
-4.0394 0.4862 1.9348
Ni Nb Sm
1 1 1
Direct
0.0000 0.0000 0.0000
0.2500 0.2500 0.2500
0.7500 0.7500 0.7500
```

=====

Run 2
A plane-wave DFT calculation with PBE was carried out for crystalline SmNbNi at its relaxed geometry.

## Properties
**ρ**: 7.8 g cm⁻³

Cell and atoms, written as POSCAR:
```
SmNbNi
1.0
-0.0293 -4.2713 1.4274
1.6915 -1.0345 4.0436
-2.7524 -1.2383 3.3425
Sm Ni Nb
1 1 1
Direct
0.0000 0.0000 0.0000
0.7500 0.7500 0.7500
0.2500 0.2500 0.2500
```

=====

Here are the energies relative to the best structure, in meV/atom: run 1 0; run 2 835.

=====

Run 1
A plane-wave DFT calculation with PBE was carried out for crystalline NbTlNiTe3 at its relaxed geometry.

## Properties
**ρ**: 7.5 g cm⁻³

Cell and atoms, written as POSCAR:
```
NbTlNiTe3
1.0
8.9824 0.0000 0.0000
0.0000 3.7896 0.0000
-4.1488 0.0000 9.6568
Ni Te Nb Tl
2 6 2 2
Direct
0.9780 0.7500 0.3948
0.0220 0.2500 0.6052
0.1878 0.2500 0.4530
0.8122 0.7500 0.5470
0.2699 0.2500 0.8354
0.7301 0.7500 0.1646
0.1648 0.7500 0.1148
0.8352 0.2500 0.8852
0.0341 0.7500 0.8125
0.9659 0.2500 0.1875
0.4854 0.2500 0.2951
0.5146 0.7500 0.7049
```

=====

Run 2
A plane-wave DFT calculation with PBE was carried out for crystalline NbTlNiTe3 at its relaxed geometry.

## Properties
**ρ**: 7.7 g cm⁻³

Cell and atoms, written as POSCAR:
```
NbTlNiTe3
1.0
1.8595 -8.3084 0.0000
1.8595 8.3084 0.0000
0.0000 0.0000 10.2526
Ni Tl Te Nb
2 2 6 2
Direct
0.4711 0.5289 0.2500
0.5289 0.4711 0.7500
0.7492 0.2508 0.2500
0.2508 0.7492 0.7500
0.0738 0.9262 0.2500
0.3766 0.6234 0.0600
0.6234 0.3766 0.5600
0.9262 0.0738 0.7500
0.6234 0.3766 0.9400
0.3766 0.6234 0.4400
0.0000 0.0000 0.5000
0.0000 0.0000 0.0000
```

=====

Here are the energies relative to the best structure, in meV/atom: run 1 0; run 2 44.

=====

Run 1
A plane-wave DFT calculation with PBE was carried out for crystalline UNbNi at its relaxed geometry.

## Properties
**ρ**: 11.1 g cm⁻³

Cell and atoms, written as POSCAR:
```
UNbNi
1.0
0.0000 3.0780 3.0780
3.0780 0.0000 3.0780
3.0780 3.0780 0.0000
Ni Nb U
1 1 1
Direct
0.2500 0.2500 0.2500
0.0000 0.0000 0.0000
0.5000 0.5000 0.5000
```

=====

Run 2
A plane-wave DFT calculation with PBE was carried out for crystalline UNbNi at its relaxed geometry.

## Properties
**ρ**: 11.2 g cm⁻³

Cell and atoms, written as POSCAR:
```
UNbNi
1.0
0.0000 3.0683 3.0683
3.0683 0.0000 3.0683
3.0683 3.0683 0.0000
Nb U Ni
1 1 1
Direct
0.7500 0.7500 0.7500
0.0000 0.0000 0.0000
0.2500 0.2500 0.2500
```

=====

Here are the energies relative to the best structure, in meV/atom: run 1 0; run 2 298.

=====

Run 1
A plane-wave DFT calculation with PBE was carried out for crystalline YNbNi at its relaxed geometry.

## Properties
**ρ**: 6.0 g cm⁻³

Cell and atoms, written as POSCAR:
```
YNbNi
1.0
0.0000 3.2103 3.2103
3.2103 0.0000 3.2103
3.2103 3.2103 0.0000
Y Ni Nb
1 1 1
Direct
0.0000 0.0000 0.0000
0.7500 0.7500 0.7500
0.2500 0.2500 0.2500
```

=====

Run 2
A plane-wave DFT calculation with PBE was carried out for crystalline YNbNi at its relaxed geometry.

## Properties
**ρ**: 6.4 g cm⁻³

Cell and atoms, written as POSCAR:
```
YNbNi
1.0
2.2271 1.2858 3.6369
-2.2271 1.2858 3.6369
0.0000 -2.5717 3.6369
Ni Nb Y
1 1 1
Direct
0.2500 0.2500 0.2500
0.0000 0.0000 0.0000
0.7500 0.7500 0.7500
```

=====

Here are the energies relative to the best structure, in meV/atom: run 1 426; run 2 0.

=====

Run 1
A plane-wave DFT calculation with PBE was carried out for crystalline NpNb at its relaxed geometry.

## Properties
**ρ**: 13.2 g cm⁻³

Cell and atoms, written as POSCAR:
```
NpNb
1.0
0.0000 2.7454 2.7454
2.7454 0.0000 2.7454
2.7454 2.7454 0.0000
Nb Np
1 1
Direct
0.0000 0.0000 0.0000
0.5000 0.5000 0.5000
```

=====

Run 2
A plane-wave DFT calculation with PBE was carried out for crystalline NpNb at its relaxed geometry.

## Properties
**ρ**: 11.0 g cm⁻³

Cell and atoms, written as POSCAR:
```
NpNb
1.0
0.0000 2.9193 2.9193
2.9193 0.0000 2.9193
2.9193 2.9193 0.0000
Np Nb
1 1
Direct
0.2500 0.2500 0.2500
0.0000 0.0000 0.0000
```

=====

Run 3
A plane-wave DFT calculation with PBE was carried out for crystalline NpNb at its relaxed geometry.

## Properties
**ρ**: 13.6 g cm⁻³

Cell and atoms, written as POSCAR:
```
NpNb
1.0
-2.8467 0.1648 0.1235
1.3453 -2.2786 1.0699
0.3699 2.5963 5.0641
Np Nb
1 1
Direct
0.3333 0.6667 0.2500
0.6667 0.3333 0.7500
```

=====

Here are the energies relative to the best structure, in meV/atom: run 1 840; run 2 1561; run 3 0.

=====

Run 1
A plane-wave DFT calculation with PBE was carried out for crystalline Nb2Os2O5 at its relaxed geometry.

## Properties
**ρ**: 11.0 g cm⁻³

Cell and atoms, written as POSCAR:
```
Nb2Os2O5
1.0
-6.6513 1.9740 -0.5897
-0.9291 -3.4580 -1.0959
-0.6035 -0.9681 3.5666
O Nb Os
5 2 2
Direct
0.2925 0.5000 0.0000
0.7075 0.5000 0.0000
0.5000 0.5000 0.5000
0.2925 0.0000 0.5000
0.7075 0.0000 0.5000
0.5000 0.0000 0.0000
0.0000 0.0000 0.0000
0.8085 0.5000 0.5000
0.1915 0.5000 0.5000
```

=====

Run 2
A plane-wave DFT calculation with PBE was carried out for crystalline Nb2Os2O5 at its relaxed geometry.

## Properties
**ρ**: 10.6 g cm⁻³

Cell and atoms, written as POSCAR:
```
Nb2Os2O5
1.0
8.3982 0.0000 0.0000
0.0000 3.4657 0.0000
0.0000 0.0000 3.4657
O Nb Os
5 2 2
Direct
0.6859 0.5000 0.0000
0.5000 0.5000 0.5000
0.3141 0.0000 0.5000
0.6859 0.0000 0.5000
0.3141 0.5000 0.0000
0.8062 0.5000 0.5000
0.1938 0.5000 0.5000
0.0000 0.0000 0.0000
0.5000 0.0000 0.0000
```

=====

Here are the energies relative to the best structure, in meV/atom: run 1 0; run 2 80.